Entry 1:
{
  "formula": "TbNd12Sm5",
  "functional": "PBE-GGA",
  "state": "optimized geometry",
  "formation_enthalpy_0k_mev_per_atom": 14,
  "lattice_angstrom": [[-12.7798, -3.8871, -7.9218], [-9.0342, -5.8327, 2.2133], [-2.3546, 4.2895, 1.6936]],
  "species": ["Tb", "Nd", "Sm", "Sm", "Nd", "Nd", "Sm", "Nd", "Nd", "Sm", "Nd", "Nd", "Nd", "Nd", "Sm", "Nd", "Nd", "Nd"],
  "frac_coords": [[0.0000, 0.0000, 0.0000], [0.1654, 0.0000, 0.4999], [0.8338, 0.3324, 0.5000], [0.5000, 0.0000, 0.5000], [0.5006, 0.6665, 0.5000], [0.6663, 0.0000, 0.0001], [0.6667, 0.6666, 0.0000], [0.3321, 0.6672, 0.0000], [0.0007, 0.6672, 0.0000], [0.3333, 0.3334, 0.0000], [0.6679, 0.3328, 0.0000], [0.8329, 0.6665, 0.5000], [0.3337, 0.0000, 0.9999], [0.8346, 0.0000, 0.5001], [0.1662, 0.6676, 0.5000], [0.9993, 0.3328, 0.0000], [0.1671, 0.3335, 0.5000], [0.4994, 0.3335, 0.5000]]
}

Entry 2:
{
  "formula": "Y8AlS6",
  "functional": "PBE-GGA",
  "state": "optimized geometry",
  "formation_energy_uncorrected_ev_per_atom": -1.5037,
  "lattice_angstrom": [[3.9094, 0.0000, 0.0000], [0.0000, 8.8686, -5.1203], [0.0000, 0.0000, 10.2406]],
  "species": ["Y", "S", "Y", "Y", "Y", "S", "Y", "Y", "Y", "Y", "Al", "S", "S", "S", "S"],
  "frac_coords": [[0.7492, 0.7040, 0.6697], [0.2507, 0.1356, 0.4833], [0.2508, 0.0343, 0.7040], [0.7491, 0.3333, 0.6667], [0.7492, 0.9657, 0.2960], [0.7493, 0.4833, 0.3477], [0.7492, 0.3303, 0.0343], [0.2508, 0.2960, 0.3303], [0.2509, 0.6667, 0.3333], [0.2508, 0.6697, 0.9657], [0.5000, 0.0000, 0.0000], [0.2507, 0.3477, 0.8644], [0.2507, 0.5167, 0.6523], [0.7493, 0.8644, 0.5167], [0.7493, 0.6523, 0.1356]]
}

Entry 3:
{
  "formula": "Li2CaAcSn2",
  "functional": "PBE-GGA",
  "state": "optimized geometry",
  "formation_enthalpy_0k_mev_per_atom": -595,
  "lattice_angstrom": [[4.8952, 0.0000, 0.0000], [-2.4476, 4.2394, 0.0000], [0.0000, 0.0000, 7.8806]],
  "species": ["Li", "Li", "Sn", "Ac", "Sn", "Ca"],
  "frac_coords": [[0.6667, 0.3333, 0.1904], [0.3333, 0.6667, 0.8096], [0.6667, 0.3333, 0.7630], [0.0000, 0.0000, 0.5000], [0.3333, 0.6667, 0.2370], [0.0000, 0.0000, 0.0000]]
}

Entry 4:
{
  "formula": "LaMnRh2",
  "functional": "PBE-GGA",
  "state": "optimized geometry",
  "formation_enthalpy_0k_mev_per_atom": 38,
  "lattice_angstrom": [[4.7244, 0.0000, 0.0000], [0.0000, 4.7244, 0.0000], [2.3622, 2.3622, 8.2645]],
  "species": ["Rh", "Rh", "La", "Rh", "Mn", "La", "Rh", "Mn"],
  "frac_coords": [[0.3750, 0.5296, 0.7500], [0.8750, 0.7204, 0.7500], [0.7500, 0.2500, 0.5000], [0.2796, 0.6250, 0.2500], [0.5000, 0.5000, 0.0000], [0.0000, 0.0000, 0.0000], [0.4704, 0.1250, 0.2500], [0.2500, 0.7500, 0.5000]]
}

Entry 5:
{
  "formula": "Na2P2H4N2O5",
  "functional": "PBE-GGA",
  "state": "optimized geometry",
  "e_tot_ev_per_atom": -5.989,
  "lattice_angstrom": [[5.2014, 0.0000, 0.0000], [2.6007, 11.2277, -0.0354], [2.6007, 0.2515, 11.3560]],
  "species": ["P", "Na", "P", "N", "Na", "H", "H", "O", "H", "O", "Na", "O", "H", "H", "P", "H", "N", "O", "N", "H", "O", "P", "N", "O", "H", "N", "H", "P", "H", "O", "O", "O", "O", "O", "H", "Na", "Na", "P", "Na", "O", "P", "Na", "O", "H", "H", "N", "Na", "O", "O", "H", "O", "O", "H", "P", "N", "O", "N", "O", "H", "O"],
  "frac_coords": [[0.8865, 0.8132, 0.0795], [0.5644, 0.0876, 0.1038], [0.8415, 0.9253, 0.3117], [0.9906, 0.1252, 0.8239], [0.4356, 0.9124, 0.8962], [0.7603, 0.3700, 0.6554], [0.9541, 0.8062, 0.8493], [0.8723, 0.6965, 0.5342], [0.1354, 0.2906, 0.2095], [0.6386, 0.4252, 0.8818], [0.6771, 0.3954, 0.0975], [0.1537, 0.2035, 0.2091], [0.2144, 0.8700, 0.1554], [0.3904, 0.3062, 0.3493], [0.2208, 0.3132, 0.5795], [0.6355, 0.2094, 0.2905], [0.9397, 0.3748, 0.6761], [0.6404, 0.0417, 0.3006], [0.3429, 0.1748, 0.6287], [0.3308, 0.3456, 0.8676], [0.4385, 0.3827, 0.5737], [0.9215, 0.4253, 0.8117], [0.0094, 0.8748, 0.1761], [0.5615, 0.6173, 0.4263], [0.3645, 0.7906, 0.7095], [0.8536, 0.6748, 0.1287], [0.6692, 0.6544, 0.1324], [0.1135, 0.1868, 0.9205], [0.2397, 0.6300, 0.3446], [0.3949, 0.1173, 0.9263], [0.5662, 0.2965, 0.2909], [0.9457, 0.0748, 0.6182], [0.0174, 0.5417, 0.8006], [0.1031, 0.8035, 0.9658], [0.8646, 0.7094, 0.7905], [0.7558, 0.4124, 0.3962], [0.1700, 0.1046, 0.4025], [0.7792, 0.6868, 0.4205], [0.2442, 0.5876, 0.6038], [0.9826, 0.4583, 0.1994], [0.1585, 0.0747, 0.6883], [0.3229, 0.6046, 0.9025], [0.1277, 0.3035, 0.4658], [0.5441, 0.1544, 0.6324], [0.7856, 0.1300, 0.8446], [0.1464, 0.3252, 0.8713], [0.8300, 0.8954, 0.5975], [0.4338, 0.7035, 0.7091], [0.8969, 0.1965, 0.0342], [0.0459, 0.1938, 0.1507], [0.8463, 0.7965, 0.7909], [0.0543, 0.9252, 0.3818], [0.6096, 0.6938, 0.6507], [0.0785, 0.5747, 0.1883], [0.6571, 0.8252, 0.3713], [0.3596, 0.9583, 0.6994], [0.0603, 0.6252, 0.3239], [0.3614, 0.5748, 0.1182], [0.4559, 0.8456, 0.3676], [0.6051, 0.8827, 0.0737]]
}

Entry 6:
{
  "formula": "CaLa3Ir",
  "functional": "PBE-GGA",
  "state": "optimized geometry",
  "e_above_lowest_polymorph_ev_per_atom": 0.0540,
  "formation_enthalpy_0k_mev_per_atom": -296,
  "lattice_angstrom": [[-0.1307, 4.8289, -2.9626], [-10.5879, 1.4359, 2.8076], [1.5274, 7.7725, 1.7848]],
  "species": ["La", "Ca", "La", "La", "Ir", "La", "Ca", "La", "Ir", "La"],
  "frac_coords": [[0.4976, 0.7500, 0.7499], [0.5001, 0.7500, 0.2497], [0.9991, 0.9995, 0.7498], [0.0009, 0.0005, 0.2502], [0.9975, 0.7500, 0.7497], [0.0009, 0.4995, 0.2502], [0.4999, 0.2500, 0.7503], [0.9991, 0.5005, 0.7498], [0.0025, 0.2500, 0.2503], [0.5024, 0.2500, 0.2501]]
}

Entry 7:
{
  "formula": "LiTb2Au",
  "functional": "PBE-GGA",
  "state": "optimized geometry",
  "formation_enthalpy_0k_mev_per_atom": -410,
  "lattice_angstrom": [[-1.9575, -1.3865, -2.8098], [1.3292, -4.6914, 1.3890], [-4.0893, -0.2749, 2.9846]],
  "species": ["Tb", "Li", "Au", "Tb"],
  "frac_coords": [[0.0000, 0.0000, 0.5000], [0.5000, 0.0000, 0.0000], [0.5000, 0.5000, 0.5000], [0.0000, 0.5000, 0.0000]]
}

Entry 8:
{
  "formula": "Rb3RhCl",
  "functional": "PBE-GGA",
  "state": "optimized geometry",
  "formation_energy_uncorrected_ev_per_atom": -0.1360,
  "e_above_lowest_polymorph_ev_per_atom": 0.0000,
  "lattice_angstrom": [[-4.9894, -1.5047, 3.0373], [2.9383, -4.6146, 2.5407], [1.6899, 3.5812, 4.5500]],
  "species": ["Cl", "Rb", "Rb", "Rh", "Rb"],
  "frac_coords": [[0.5000, 0.5000, 0.5000], [0.5000, 0.0000, 0.0000], [0.0000, 0.0000, 0.5000], [0.0000, 0.0000, 0.0000], [0.0000, 0.5000, 0.0000]]
}

Asked for calculated volume across the records above, the calculation gives 624.1 355.1 163.5 184.5 663.2 364.8 95.0 219.5 Å³ per cell in order.